Density functional theory data (PBE-GGA) for a geometry-optimized CuNi4Rh structure.

Summary:
Energy of formation ... 2.49 eV/f.u.
E above lowest polymorph ... 272 meV per atom
Space-group type ... Cmcm, No. 63

a b c (Å): 4.9130 4.9130 7.9894
angles (deg): 90.00 90.00 119.25
Element x y z (fractional)
1 Cu 0.0009 0.9991 0.7500
2 Cu 0.9991 0.0009 0.2500
3 Ni 0.0004 0.4989 0.7500
4 Ni 0.9996 0.5011 0.2500
5 Ni 0.3133 0.6867 0.0000
6 Ni 0.3133 0.6867 0.5000
7 Ni 0.4989 0.0004 0.2500
8 Ni 0.5011 0.9996 0.7500
9 Ni 0.6867 0.3133 0.0000
10 Ni 0.6867 0.3133 0.5000
11 Rh 0.4994 0.5006 0.2500
12 Rh 0.5006 0.4994 0.7500